1.
Cd2BrCl: relaxed, GGA-PBE.

a b c (Å): 6.142 6.142 6.142
angles (deg): 145.95 114.23 76.18
Positions (direct):
Cd1 0.989 0.989 0.000
Cd2 0.751 0.251 0.500
Br1 0.207 0.707 0.500
Cl1 0.553 0.553 0.000

Values from the calculation:
Formation energy without anion corrections: -545 meV per atom
Volume: 28.999 Å³ per atom
E above lowest polymorph: 0.353 eV per formula unit
Raw total energy: -0.069 Ha/atom
Density of states at the Fermi level: 0.068 states/eV/atom



2.
Cd2BrCl: relaxed, GGA-PBE.

a b c (Å): 9.140 9.140 9.140
angles (deg): 24.36 24.36 24.36
Positions (direct):
Br1 0.727 0.727 0.727
Cd1 0.997 0.997 0.997
Cd2 0.250 0.250 0.250
Cl1 0.526 0.526 0.526

Values from the calculation:
Formation energy without anion corrections: -633 meV per atom
Volume: 28.554 Å³ per atom
E above lowest polymorph: 0.000 eV per formula unit
Raw total energy: -0.072 Ha/atom
Density of states at the Fermi level: 0.184 states/eV/atom



3.
Cd2BrCl: relaxed, GGA-PBE.

a b c (Å): 6.723 6.723 8.160
angles (deg): 65.67 65.67 90.00
Positions (direct):
Cd1 0.875 0.859 0.750
Cd2 0.141 0.625 0.250
Cd3 0.375 0.391 0.750
Cd4 0.609 0.125 0.250
Br1 0.750 0.250 0.500
Br2 0.000 0.000 0.000
Cl1 0.250 0.750 0.500
Cl2 0.500 0.500 0.000

Values from the calculation:
Formation energy without anion corrections: -308 meV per atom
Volume: 37.468 Å³ per atom
E above lowest polymorph: 1.301 eV per formula unit
Raw total energy: -0.060 Ha/atom
Density of states at the Fermi level: 0.664 states/eV/atom



4.
CdBrCl2: relaxed, GGA-PBE.

a b c (Å): 3.388 3.388 9.818
angles (deg): 90.00 90.00 90.00
Each line ends with the local moment (μB).
Positions (direct):
Cl1 0.500 0.500 0.243  0.67
Cl2 0.000 0.000 0.916  0.00
Cd1 0.500 0.500 0.764  0.00
Br1 0.000 0.000 0.577  0.00

Values from the calculation:
Formation energy without anion corrections: -212 meV per atom
Volume: 28.176 Å³ per atom
E above lowest polymorph: 2.258 eV per formula unit
Raw total energy: -0.065 Ha/atom
Density of states at the Fermi level: 0.744 states/eV/atom



5.
Cd2BrCl: relaxed, GGA-PBE.

a b c (Å): 7.506 7.506 7.506
angles (deg): 148.09 148.09 45.75
Positions (direct):
Cd1 0.000 0.000 0.000
Cd2 0.250 0.750 0.500
Cl1 0.500 0.500 0.000
Br1 0.750 0.250 0.500

Values from the calculation:
Formation energy without anion corrections: -320 meV per atom
Volume: 29.431 Å³ per atom
E above lowest polymorph: 1.253 eV per formula unit
Raw total energy: -0.061 Ha/atom
Density of states at the Fermi level: 0.614 states/eV/atom



6.
CdBrCl2: relaxed, GGA-PBE.

a b c (Å): 5.461 5.462 6.897
angles (deg): 130.85 130.85 55.85
Positions (direct):
Cd1 0.875 0.125 0.500
Cl1 0.875 0.125 0.000
Cl2 0.375 0.625 0.500
Br1 0.375 0.625 0.000

Values from the calculation:
Formation energy without anion corrections: -313 meV per atom
Volume: 28.619 Å³ per atom
E above lowest polymorph: 1.852 eV per formula unit
Raw total energy: -0.069 Ha/atom
Density of states at the Fermi level: 0.469 states/eV/atom